Record 1
Density functional theory data (GGA-PBE) for a relaxed structure of Bi3Se4. Values from VASP.

Output
ΔE to the lowest computed polymorph, kJ/mol of formula units: 21.1
Calculated volume, A^3/atom: 32.2
Formation energy from raw total energies, eV per atom: -0.305
Symmetry: C2/m, No. 12
Size of the total moment, μB per cell: 0.00

Quantum ESPRESSO input file:
```
&SYSTEM
  ibrav = 0, nat = 7, ntyp = 2
/
ATOMIC_SPECIES
Bi 208.98 Bi.upf
Se 78.96 Se.upf
ATOMIC_POSITIONS crystal
Bi 0.7343 0.7192 0.4687
Se 0.8715 0.5486 0.7430
Se 0.3697 0.0154 0.7395
Bi 0.2657 0.2808 0.5313
Bi 0.0000 0.0000 0.0000
Se 0.6303 0.9846 0.2605
Se 0.1285 0.4514 0.2570
CELL_PARAMETERS angstrom
4.1643 0.0000 0.0000
0.0000 7.5213 0.1542
-2.0821 -3.3277 7.1228
```

***

Record 2
Density functional theory data (GGA-PBE) for a relaxed structure of CrIrRu. Values from VASP.

Output
ΔE to the lowest computed polymorph, kJ/mol of formula units: 83.3
ΔH_f (0 K), meV per atom: 261
Calculated volume, A^3/atom: 15.3
Symmetry: F-43m, No. 216
Size of the total moment, μB per cell: 0.00

Quantum ESPRESSO input file:
```
&SYSTEM
  ibrav = 0, nat = 3, ntyp = 3
/
ATOMIC_SPECIES
Ru 101.07 Ru.upf
Ir 192.22 Ir.upf
Cr 52.00 Cr.upf
ATOMIC_POSITIONS crystal
Ru 0.5000 0.5000 0.5000
Ir 0.0000 0.0000 0.0000
Cr 0.7500 0.7500 0.7500
CELL_PARAMETERS angstrom
-2.9927 -2.3770 -1.2401
-2.5164 -1.6248 2.6780
-3.8028 1.2789 0.2168
```